[1]
Entry from the Alexandria database: a relaxed KNa2CaAu crystal (PBE).

a = 5.896 Å, b = 5.896 Å, c = 5.752 Å
α = 90.00°, β = 90.00°, γ = 90.00°
Element x y z (fractional)
Na 0.000 0.500 0.000
Na 0.500 0.000 0.000
Ca 0.000 0.000 0.500
Au 0.000 0.000 0.000
K 0.500 0.500 0.500

Output
* ΔH_f (0 K): -0.156 eV/atom
* raw total energy: -9.797 eV/f.u.

***

[2]
Entry from the Alexandria database: a relaxed KNaCa2Au crystal (PBE).

a = 5.811 Å, b = 5.811 Å, c = 6.403 Å
α = 90.00°, β = 90.00°, γ = 90.00°
Element x y z (fractional)
Na 0.500 0.500 0.500
Ca 0.000 0.500 0.000
Ca 0.500 0.000 0.000
Au 0.000 0.000 0.000
K 0.000 0.000 0.500

Output
* energy above the most stable polymorph in this dataset: 38 meV per atom
* ΔH_f (0 K): -0.179 eV/atom
* raw total energy: -10.593 eV/f.u.

***

[3]
Entry from the Alexandria database: a relaxed KNaCa2Au crystal (PBE).

a = 5.816 Å, b = 5.816 Å, c = 6.024 Å
α = 90.00°, β = 90.00°, γ = 90.00°
Element x y z (fractional)
Na 0.000 0.000 0.500
Ca 0.000 0.500 0.000
Ca 0.500 0.000 0.000
Au 0.000 0.000 0.000
K 0.500 0.500 0.500

Output
* energy above the most stable polymorph in this dataset: 0 meV per atom
* ΔH_f (0 K): -0.217 eV/atom
* raw total energy: -10.781 eV/f.u.

***

[4]
Entry from the Alexandria database: a relaxed KCaNbAu2 crystal (PBE).

a = 5.295 Å, b = 5.462 Å, c = 5.295 Å
α = 90.00°, β = 90.00°, γ = 90.00°
Element x y z (fractional)
K 0.000 0.500 0.000
Nb 0.500 0.500 0.500
Au 0.000 0.000 0.500
Au 0.500 0.000 0.000
Ca 0.000 0.000 0.000

Output
* ΔH_f (0 K): 1.129 eV/atom
* raw total energy: -14.078 eV/f.u.

***

[5]
Entry from the Alexandria database: a relaxed KCa2AuO4 crystal (PBE).

a = 5.424 Å, b = 5.424 Å, c = 5.424 Å
α = 106.82°, β = 110.81°, γ = 110.81°
Element x y z (fractional)
K 0.000 0.000 0.000
Ca 0.500 0.750 0.250
Ca 0.500 0.250 0.750
Au 0.000 0.500 0.500
O 0.000 0.270 0.729
O 0.540 0.271 0.271
O 0.460 0.730 0.730
O 0.000 0.729 0.270

Output
* raw total energy: -41.270 eV/f.u.
* energy relative to the elements, uncorrected: -13.1 eV per formula unit

***

[6]
Entry from the Alexandria database: a relaxed KCa2OsAu crystal (PBE).

a = 5.461 Å, b = 5.000 Å, c = 5.461 Å
α = 90.00°, β = 90.00°, γ = 90.00°
Element x y z (fractional)
Os 0.500 0.500 0.500
Ca 0.000 0.000 0.500
Ca 0.500 0.000 0.000
Au 0.000 0.500 0.000
K 0.000 0.000 0.000

Output
* ΔH_f (0 K): 1.713 eV/atom
* raw total energy: -11.044 eV/f.u.